Here is a relaxed Rb3SmU3Te8 crystal from Alexandria via LeMat-Bulk. Energies are from PBE-GGA.

Results
* Fermi-level density of states: 19.06 states/eV/cell
* crystal system: triclinic
* magnetization: 2.73 μB/cell
* raw formation energy: -0.94 eV/atom

a = 9.023 Å, b = 9.052 Å, c = 10.148 Å
α = 63.66°, β = 63.66°, γ = 60.18°
Space group P-1 (No. 2)
Inequivalent atoms, fractional coordinates:
Rb 0.000 0.000 0.000 [1 per cell]
Rb 0.000 0.500 0.000 [1 per cell]
Rb 0.500 0.000 0.000 [1 per cell]
Sm 0.000 0.000 0.500 [1 per cell]
U 0.000 0.500 0.500 [1 per cell]
U 0.500 0.000 0.500 [1 per cell]
U 0.500 0.500 0.500 [1 per cell]
Te 0.236 0.236 0.299 [2 per cell]
Te 0.236 0.728 0.300 [2 per cell]
Te 0.265 0.266 0.702 [2 per cell]
Te 0.271 0.764 0.701 [2 per cell]